Entry 1:
# NdEr3Te3 PBE optimized geometry
data_NdEr3Te3
_chemical_formula_sum 'Nd6 Er18 Te18'
_cell_length_a 7.1743
_cell_length_b 7.1743
_cell_length_c 31.1651
_cell_angle_alpha 90.00
_cell_angle_beta 90.00
_cell_angle_gamma 120.00
_symmetry_space_group_name_H-M 'R -3'
_symmetry_Int_Tables_number 148
_symmetry_space_group_name_Hall '-R 3'
loop_
_atom_site_label
_atom_site_type_symbol
_atom_site_fract_x
_atom_site_fract_y
_atom_site_fract_z
_atom_site_occupancy
Nd1 Nd 0.0000 0.0000 0.1670 1
Er1 Er 0.0031 0.3481 0.3775 1
Te1 Te 0.0018 0.3162 0.5620 1
# **Energy relative to the elements, uncorrected**: -0.930 eV per atom

=====

Entry 2:
# NdErTe2 PBE optimized geometry
data_NdErTe2
_chemical_formula_sum 'Nd1 Er1 Te2'
_cell_length_a 5.3976
_cell_length_b 5.3976
_cell_length_c 3.8236
_cell_angle_alpha 90.00
_cell_angle_beta 90.00
_cell_angle_gamma 90.00
_symmetry_space_group_name_H-M 'P 4/m m m'
_symmetry_Int_Tables_number 123
_symmetry_space_group_name_Hall '-P 4 2'
loop_
_atom_site_label
_atom_site_type_symbol
_atom_site_fract_x
_atom_site_fract_y
_atom_site_fract_z
_atom_site_occupancy
Nd1 Nd 0.0000 0.0000 0.0000 1
Er1 Er 0.5000 0.5000 0.0000 1
Te1 Te 0.0000 0.5000 0.5000 1
# **Energy relative to the elements, uncorrected**: -1.203 eV per atom

=====

Entry 3:
# Nd2Er3ThTe6 PBE optimized geometry
data_Nd2Er3ThTe6
_chemical_formula_sum 'Nd4 Er6 Th2 Te12'
_cell_length_a 19.5708
_cell_length_b 4.3071
_cell_length_c 9.0188
_cell_angle_alpha 90.00
_cell_angle_beta 107.21
_cell_angle_gamma 90.00
_symmetry_space_group_name_H-M 'C 1 2/m 1'
_symmetry_Int_Tables_number 12
_symmetry_space_group_name_Hall '-C 2y'
loop_
_atom_site_label
_atom_site_type_symbol
_atom_site_fract_x
_atom_site_fract_y
_atom_site_fract_z
_atom_site_occupancy
Nd1 Nd 0.1595 0.0000 0.3168 1
Er1 Er 0.0000 0.5000 0.5000 1
Er2 Er 0.1668 0.0000 0.8283 1
Th1 Th 0.0000 0.5000 0.0000 1
Te1 Te 0.0064 0.0000 0.7413 1
Te2 Te 0.1661 0.5000 0.5857 1
Te3 Te 0.1705 0.5000 0.0675 1
# **Energy relative to the elements, uncorrected**: -1.247 eV per atom

=====

Entry 4:
# Nd2ErTh3Te6 PBE optimized geometry
data_Nd2ErTh3Te6
_chemical_formula_sum 'Nd4 Er2 Th6 Te12'
_cell_length_a 19.9191
_cell_length_b 4.3363
_cell_length_c 9.1571
_cell_angle_alpha 90.00
_cell_angle_beta 108.97
_cell_angle_gamma 90.00
_symmetry_space_group_name_H-M 'C 1 2/m 1'
_symmetry_Int_Tables_number 12
_symmetry_space_group_name_Hall '-C 2y'
loop_
_atom_site_label
_atom_site_type_symbol
_atom_site_fract_x
_atom_site_fract_y
_atom_site_fract_z
_atom_site_occupancy
Nd1 Nd 0.1672 0.0000 0.3337 1
Er1 Er 0.0000 0.5000 0.0000 1
Th1 Th 0.0000 0.5000 0.5000 1
Th2 Th 0.1707 0.0000 0.8364 1
Te1 Te 0.0014 0.0000 0.7618 1
Te2 Te 0.1606 0.5000 0.0812 1
Te3 Te 0.1672 0.5000 0.5818 1
# **Energy relative to the elements, uncorrected**: -1.168 eV per atom

=====

Entry 5:
# NdErTm2Te6 PBE optimized geometry
data_NdErTm2Te6
_chemical_formula_sum 'Nd3 Er3 Tm6 Te18'
_cell_length_a 7.7067
_cell_length_b 7.7067
_cell_length_c 20.9978
_cell_angle_alpha 90.00
_cell_angle_beta 90.00
_cell_angle_gamma 120.00
_symmetry_space_group_name_H-M 'R 3'
_symmetry_Int_Tables_number 146
_symmetry_space_group_name_Hall 'R 3'
loop_
_atom_site_label
_atom_site_type_symbol
_atom_site_fract_x
_atom_site_fract_y
_atom_site_fract_z
_atom_site_occupancy
Nd1 Nd 0.0000 0.0000 0.0000 1
Er1 Er 0.0000 0.0000 0.4968 1
Tm1 Tm 0.0000 0.0000 0.3102 1
Tm2 Tm 0.0000 0.0000 0.8125 1
Te1 Te 0.0065 0.3208 0.9011 1
Te2 Te 0.0162 0.6475 0.0696 1
# **Energy relative to the elements, uncorrected**: -1.343 eV per atom

=====

Entry 6:
# Nd3ErTm2Te6 PBE optimized geometry
data_Nd3ErTm2Te6
_chemical_formula_sum 'Nd6 Er2 Tm4 Te12'
_cell_length_a 19.4073
_cell_length_b 4.3281
_cell_length_c 8.9717
_cell_angle_alpha 90.00
_cell_angle_beta 105.93
_cell_angle_gamma 90.00
_symmetry_space_group_name_H-M 'C 1 2/m 1'
_symmetry_Int_Tables_number 12
_symmetry_space_group_name_Hall '-C 2y'
loop_
_atom_site_label
_atom_site_type_symbol
_atom_site_fract_x
_atom_site_fract_y
_atom_site_fract_z
_atom_site_occupancy
Nd1 Nd 0.0000 0.0000 0.0000 1
Nd2 Nd 0.1658 0.5000 0.3321 1
Er1 Er 0.0000 0.0000 0.5000 1
Tm1 Tm 0.1662 0.5000 0.8318 1
Te1 Te 0.0041 0.5000 0.7417 1
Te2 Te 0.1637 0.0000 0.5924 1
Te3 Te 0.1707 0.0000 0.0729 1
# **Energy relative to the elements, uncorrected**: -1.313 eV per atom

=====

Entry 7:
# NdEr2Tm3Te6 PBE optimized geometry
data_NdEr2Tm3Te6
_chemical_formula_sum 'Nd2 Er4 Tm6 Te12'
_cell_length_a 19.0082
_cell_length_b 4.3056
_cell_length_c 8.7497
_cell_angle_alpha 90.00
_cell_angle_beta 104.10
_cell_angle_gamma 90.00
_symmetry_space_group_name_H-M 'C 1 2/m 1'
_symmetry_Int_Tables_number 12
_symmetry_space_group_name_Hall '-C 2y'
loop_
_atom_site_label
_atom_site_type_symbol
_atom_site_fract_x
_atom_site_fract_y
_atom_site_fract_z
_atom_site_occupancy
Nd1 Nd 0.0000 0.0000 0.0000 1
Er1 Er 0.1626 0.5000 0.3260 1
Tm1 Tm 0.0000 0.0000 0.5000 1
Tm2 Tm 0.1607 0.5000 0.8315 1
Te1 Te 0.0007 0.5000 0.2620 1
Te2 Te 0.1682 0.0000 0.5833 1
Te3 Te 0.1734 0.0000 0.0839 1
# **Energy relative to the elements, uncorrected**: -1.226 eV per atom

=====

Entry 8:
# Nd2Er3TmTe6 PBE optimized geometry
data_Nd2Er3TmTe6
_chemical_formula_sum 'Nd4 Er6 Tm2 Te12'
_cell_length_a 19.2196
_cell_length_b 4.3300
_cell_length_c 8.8251
_cell_angle_alpha 90.00
_cell_angle_beta 104.06
_cell_angle_gamma 90.00
_symmetry_space_group_name_H-M 'C 1 2/m 1'
_symmetry_Int_Tables_number 12
_symmetry_space_group_name_Hall '-C 2y'
loop_
_atom_site_label
_atom_site_type_symbol
_atom_site_fract_x
_atom_site_fract_y
_atom_site_fract_z
_atom_site_occupancy
Nd1 Nd 0.1723 0.0000 0.3399 1
Er1 Er 0.0000 0.5000 0.5000 1
Er2 Er 0.1750 0.0000 0.8380 1
Tm1 Tm 0.0000 0.5000 0.0000 1
Te1 Te 0.0043 0.0000 0.7538 1
Te2 Te 0.1603 0.5000 0.5924 1
Te3 Te 0.1620 0.5000 0.0722 1
# **Energy relative to the elements, uncorrected**: -1.279 eV per atom

=====

Entry 9:
# Nd2ErTm3Te6 PBE optimized geometry
data_Nd2ErTm3Te6
_chemical_formula_sum 'Nd4 Er2 Tm6 Te12'
_cell_length_a 19.2271
_cell_length_b 4.3164
_cell_length_c 8.8452
_cell_angle_alpha 90.00
_cell_angle_beta 104.89
_cell_angle_gamma 90.00
_symmetry_space_group_name_H-M 'C 1 2/m 1'
_symmetry_Int_Tables_number 12
_symmetry_space_group_name_Hall '-C 2y'
loop_
_atom_site_label
_atom_site_type_symbol
_atom_site_fract_x
_atom_site_fract_y
_atom_site_fract_z
_atom_site_occupancy
Nd1 Nd 0.1711 0.0000 0.3396 1
Er1 Er 0.0000 0.5000 0.0000 1
Tm1 Tm 0.0000 0.5000 0.5000 1
Tm2 Tm 0.1736 0.0000 0.8376 1
Te1 Te 0.0047 0.0000 0.7516 1
Te2 Te 0.1606 0.5000 0.5939 1
Te3 Te 0.1636 0.5000 0.0720 1
# **Energy relative to the elements, uncorrected**: -1.266 eV per atom

=====

Entry 10:
# Nd3YEr3Te8 PBE optimized geometry
data_Nd3YEr3Te8
_chemical_formula_sum 'Nd9 Y3 Er9 Te24'
_cell_length_a 8.7600
_cell_length_b 8.7600
_cell_length_c 21.6426
_cell_angle_alpha 90.00
_cell_angle_beta 90.00
_cell_angle_gamma 120.00
_symmetry_space_group_name_H-M 'R -3 m'
_symmetry_Int_Tables_number 166
_symmetry_space_group_name_Hall '-R 3 2"'
loop_
_atom_site_label
_atom_site_type_symbol
_atom_site_fract_x
_atom_site_fract_y
_atom_site_fract_z
_atom_site_occupancy
Nd1 Nd 0.0000 0.5000 0.0000 1
Y1 Y 0.0000 0.0000 0.5000 1
Er1 Er 0.0000 0.5000 0.5000 1
Te1 Te 0.0000 0.0000 0.2453 1
Te2 Te 0.0110 0.5055 0.7521 1
# **Energy relative to the elements, uncorrected**: -1.391 eV per atom

=====

Among the records above, which one has the highest energy relative to the elements, uncorrected?
NdEr3Te3

=====

Which of these has the lowest energy relative to the elements, uncorrected?
Nd3YEr3Te8

=====

What is the energy relative to the elements, uncorrected in the second record?
-1.203 eV per atom

=====

Copy entry 6 word for word.
# Nd3ErTm2Te6 PBE optimized geometry
data_Nd3ErTm2Te6
_chemical_formula_sum 'Nd6 Er2 Tm4 Te12'
_cell_length_a 19.4073
_cell_length_b 4.3281
_cell_length_c 8.9717
_cell_angle_alpha 90.00
_cell_angle_beta 105.93
_cell_angle_gamma 90.00
_symmetry_space_group_name_H-M 'C 1 2/m 1'
_symmetry_Int_Tables_number 12
_symmetry_space_group_name_Hall '-C 2y'
loop_
_atom_site_label
_atom_site_type_symbol
_atom_site_fract_x
_atom_site_fract_y
_atom_site_fract_z
_atom_site_occupancy
Nd1 Nd 0.0000 0.0000 0.0000 1
Nd2 Nd 0.1658 0.5000 0.3321 1
Er1 Er 0.0000 0.0000 0.5000 1
Tm1 Tm 0.1662 0.5000 0.8318 1
Te1 Te 0.0041 0.5000 0.7417 1
Te2 Te 0.1637 0.0000 0.5924 1
Te3 Te 0.1707 0.0000 0.0729 1
# **Energy relative to the elements, uncorrected**: -1.313 eV per atom